# 1
A relaxed ThAl3Fe crystal, computed with PBE.

Lattice parameters (Å, degrees): 4.5531 4.5531 4.5531 90.00 90.00 90.00
Closest atoms and distances in Å follow each position.
Space group Pm-3m (No. 221)
One atom of each set of equivalent atoms:
Th: 0.0000 0.0000 0.0000 [1 per cell]  12 Al 3.22
Al: 0.0000 0.5000 0.5000 [3 per cell]  2 Fe 2.28
Fe: 0.5000 0.5000 0.5000 [1 per cell]  6 Al 2.28

Computed properties:
As for the magnetic moment: 0.39 μB/cell. The formation energy is -256 meV per atom. The calculation puts the density at 6.49 g cm⁻³. The value obtained for the density of states at the Fermi level is 3.832 states/eV per cell.

***

# 2
A relaxed AcCeSm2Tl4 crystal, computed with PBE.

Lattice parameters (Å, degrees): 5.5854 5.5854 27.3702 90.00 90.00 120.00
Closest atoms and distances in Å follow each position.
Space group R-3m (No. 166, hexagonal axes)
One atom of each set of equivalent atoms:
Ac: 0.0000 0.0000 0.0000 [3 per cell]  8 Tl 3.45-3.49
Ce: 0.0000 0.0000 0.5000 [3 per cell]  8 Tl 3.34-3.40
Sm: 0.0000 0.0000 0.2496 [6 per cell]  8 Tl 3.35-3.52
Tl: 0.0000 0.0000 0.1274 [6 per cell]  4 Sm 3.35-3.44, 3 Ce 3.40, 1 Ac 3.49
Tl: 0.0000 0.0000 0.3781 [6 per cell]  1 Ce 3.34, 4 Sm 3.40-3.52, 3 Ac 3.45

Computed properties:
As for the magnetic moment: 3.19 μB/cell. The formation energy is -311 meV per atom. The calculation puts the density at 10.01 g cm⁻³. The value obtained for the density of states at the Fermi level is 39.859 states/eV per cell.

***

# 3
A relaxed Rb2PtS4 crystal, computed with PBE.

Lattice parameters (Å, degrees): 4.9916 4.9916 16.3123 90.00 90.00 90.00
Closest atoms and distances in Å follow each position.
Space group I4/mmm (No. 139)
One atom of each set of equivalent atoms:
Rb: 0.0000 0.0000 0.1442 [4 per cell]  9 S 3.43-3.53
Pt: 0.0000 0.0000 0.5000 [2 per cell]  6 S 2.30-2.50
S: 0.0000 0.0000 0.3587 [4 per cell]  1 Pt 2.30
S: 0.0000 0.5000 0.0000 [4 per cell]  2 Pt 2.50

Computed properties:
As for the magnetic moment: 5.44 μB/cell. The total energy comes out at -3.779 eV per atom. The calculation puts the density at 4.04 g cm⁻³. The value obtained for the density of states at the Fermi level is 7.976 states/eV per cell.

***

# 4
A relaxed NdThSc3 crystal, computed with PBE.

Lattice parameters (Å, degrees): 8.3593 3.4507 10.0082 90.00 105.69 90.00
Closest atoms and distances in Å follow each position.
Space group P2_1/m (No. 11)
One atom of each set of equivalent atoms:
Nd: 0.1562 0.2500 0.4497 [2 per cell]  8 Sc 3.29-3.50, 4 Nd 3.45-3.50
Th: 0.3470 0.2500 0.0552 [2 per cell]  8 Sc 3.31-3.40, 4 Th 3.45-3.50
Sc: 0.0404 0.7500 0.1429 [2 per cell]  7 Sc 3.25-3.56, 3 Th 3.31-3.40, 2 Nd 3.43
Sc: 0.2537 0.7500 0.7588 [2 per cell]  3 Th 3.34-3.35, 6 Sc 3.35-3.45, 3 Nd 3.44-3.50
Sc: 0.4605 0.7500 0.3493 [2 per cell]  3 Nd 3.29-3.44, 2 Th 3.32, 7 Sc 3.35-3.56

Computed properties:
As for the magnetic moment: 0.00 μB/cell. The formation energy is 49 meV per atom. The calculation puts the density at 6.11 g cm⁻³. The value obtained for the density of states at the Fermi level is 14.088 states/eV per cell.

***

# 5
A relaxed Rb3Cu2PdCl8 crystal, computed with PBE.

Lattice parameters (Å, degrees): 7.0336 7.0336 9.2496 90.00 90.00 120.00
Closest atoms and distances in Å follow each position.
Space group P-3m1 (No. 164)
One atom of each set of equivalent atoms:
Rb: 0.0000 0.0000 0.0000 [1 per cell]  12 Cl 3.71-4.06
Rb: 0.3333 0.6667 0.6362 [2 per cell]  10 Cl 3.19-3.53
Cu: 0.3333 0.6667 0.2158 [2 per cell]  4 Cl 2.17-2.34
Pd: 0.0000 0.0000 0.5000 [1 per cell]  6 Cl 2.51
Cl: 0.1650 0.3300 0.3367 [6 per cell]  1 Cu 2.34, 1 Pd 2.51
Cl: 0.3333 0.6667 0.9811 [2 per cell]  1 Cu 2.17

Computed properties:
As for the magnetic moment: 0.00 μB/cell. The total energy comes out at -3.346 eV per atom. The calculation puts the density at 3.24 g cm⁻³. The value obtained for the density of states at the Fermi level is 5.093 states/eV per cell.

***

# 6
A relaxed K6CoS4 crystal, computed with PBE.

Lattice parameters (Å, degrees): 9.8014 9.8014 7.7080 90.00 90.00 120.00
Closest atoms and distances in Å follow each position.
Space group P6_3mc (No. 186)
One atom of each set of equivalent atoms:
K: 0.0588 0.5294 0.0000 [6 per cell]  5 S 3.20-3.36, 1 Co 3.44, 2 K 3.52
K: 0.1466 0.2932 0.6761 [6 per cell]  4 S 3.12-3.17
Co: 0.3333 0.6667 0.3864 [2 per cell]  4 S 2.37-2.38
S: 0.2003 0.4006 0.2896 [6 per cell]  1 Co 2.38
S: 0.3333 0.6667 0.6934 [2 per cell]  1 Co 2.37

Computed properties:
As for the magnetic moment: 6.00 μB/cell. The total energy comes out at -3.669 eV per atom. The calculation puts the density at 2.18 g cm⁻³. The value obtained for the density of states at the Fermi level is 0.054 states/eV per cell.

***

# 7
A relaxed Sm4MgPd2 crystal, computed with PBE.

Lattice parameters (Å, degrees): 5.0444 5.0444 26.8918 90.00 90.00 120.00
Closest atoms and distances in Å follow each position.
Space group R-3m (No. 166, hexagonal axes)
One atom of each set of equivalent atoms:
Sm: 0.0000 0.0000 0.1160 [6 per cell]  3 Pd 3.18, 3 Mg 3.22, 3 Sm 3.56
Sm: 0.0000 0.0000 0.2932 [6 per cell]  4 Pd 2.92-3.01
Mg: 0.0000 0.0000 0.5000 [3 per cell]  2 Pd 2.64
Pd: 0.0000 0.0000 0.4018 [6 per cell]  1 Mg 2.64, 1 Sm 2.92

Computed properties:
As for the magnetic moment: 0.00 μB/cell. The formation energy is -353 meV per atom. The calculation puts the density at 7.05 g cm⁻³. The value obtained for the density of states at the Fermi level is 18.518 states/eV per cell.

***

# 8
A relaxed ZnRhW3 crystal, computed with PBE.

Lattice parameters (Å, degrees): 4.4896 4.4896 4.4896 90.00 90.00 90.00
Closest atoms and distances in Å follow each position.
Space group Pm-3m (No. 221)
One atom of each set of equivalent atoms:
Zn: 0.0000 0.0000 0.0000 [1 per cell]  6 W 2.24
Rh: 0.5000 0.5000 0.5000 [1 per cell]  12 W 3.17
W: 0.0000 0.0000 0.5000 [3 per cell]  2 Zn 2.24

Computed properties:
As for the magnetic moment: 0.00 μB/cell. The formation energy is 1935 meV per atom. The calculation puts the density at 13.21 g cm⁻³. The value obtained for the density of states at the Fermi level is 3.864 states/eV per cell.

***

# 9
A relaxed KNbAs2 crystal, computed with PBE.

Lattice parameters (Å, degrees): 7.1328 7.1328 11.0535 90.00 90.00 90.00
Closest atoms and distances in Å follow each position.
Space group I-42d (No. 122)
One atom of each set of equivalent atoms:
K: 0.0000 0.0000 0.0000 [4 per cell]  4 As 3.42
Nb: 0.0000 0.0000 0.5000 [4 per cell]  4 As 2.46
As: 0.1390 0.2500 0.6250 [8 per cell]  2 Nb 2.46

Computed properties:
As for the magnetic moment: 0.00 μB/cell. The formation energy is -217 meV per atom. The calculation puts the density at 3.33 g cm⁻³. The value obtained for the density of states at the Fermi level is 0.000 states/eV per cell.

***

# 10
A relaxed YHfAg2Sn crystal, computed with PBE.

Lattice parameters (Å, degrees): 5.0492 5.0492 5.6864 90.00 90.00 90.00
Closest atoms and distances in Å follow each position.
Space group P4/mmm (No. 123)
One atom of each set of equivalent atoms:
Y: 0.0000 0.0000 0.0000 [1 per cell]  2 Sn 2.84
Hf: 0.5000 0.5000 0.0000 [1 per cell]  4 Y 3.57, 8 Ag 3.80
Ag: 0.0000 0.5000 0.5000 [2 per cell]  2 Sn 2.52
Sn: 0.0000 0.0000 0.5000 [1 per cell]  4 Ag 2.52

Computed properties:
As for the magnetic moment: 1.20 μB/cell. The formation energy is 787 meV per atom. The calculation puts the density at 6.89 g cm⁻³. The value obtained for the density of states at the Fermi level is 3.749 states/eV per cell.

***

# 11
A relaxed Ac2TiCuSe6 crystal, computed with PBE.

Lattice parameters (Å, degrees): 6.7138 7.7744 11.7317 90.00 124.02 90.00
Closest atoms and distances in Å follow each position.
Space group P2_1/c (No. 14)
One atom of each set of equivalent atoms:
Ac: 0.2059 0.1059 0.2520 [4 per cell]  8 Se 3.13-3.29
Ti: 0.5000 0.0000 0.0000 [2 per cell]  6 Se 2.55-2.67
Cu: 0.0000 0.0000 0.5000 [2 per cell]  4 Se 2.46-2.70
Se: 0.1413 0.1734 0.9576 [4 per cell]  1 Ti 2.55, 1 Cu 2.85
Se: 0.2837 0.6963 0.9570 [4 per cell]  1 Ti 2.67, 1 Cu 2.70
Se: 0.3362 0.0095 0.7432 [4 per cell]  1 Cu 2.46, 1 Ti 2.57

Computed properties:
As for the magnetic moment: 0.00 μB/cell. The total energy comes out at -5.438 eV per atom. The calculation puts the density at 6.80 g cm⁻³. The value obtained for the density of states at the Fermi level is 12.624 states/eV per cell.

***

# 12
A relaxed Mg2In crystal, computed with PBE.

Lattice parameters (Å, degrees): 4.4999 4.4999 27.1731 90.00 90.00 90.00
Closest atoms and distances in Å follow each position.
Space group I4_1/amd (No. 141, origin choice 2)
One atom of each set of equivalent atoms:
Mg: 0.0000 0.2500 0.1243 [8 per cell]  4 In 3.15-3.18, 8 Mg 3.18-3.21
Mg: 0.0000 0.2500 0.7914 [8 per cell]  6 Mg 3.18-3.21, 6 In 3.18-3.22
In: 0.0000 0.2500 0.2933 [8 per cell]  10 Mg 3.15-3.22, 2 In 3.25

Computed properties:
As for the magnetic moment: 0.00 μB/cell. The formation energy is -93 meV per atom. The calculation puts the density at 3.95 g cm⁻³. The value obtained for the density of states at the Fermi level is 8.530 states/eV per cell.